Computed, not measured: a relaxed structure of CaZr2Ir at the PBE level of DFT.

It has space group P4/mmm (No. 123), with a = 3.118 Å, b = 3.118 Å, c = 9.700 Å, α = 90.00°, β = 90.00° and γ = 90.00°. The inequivalent atoms are Ca at (0.000, 0.000, 0.000), Zr at (0.500, 0.500, 0.313) and Ir at (0.000, 0.000, 0.500).

The calculation puts the calculated formation energy at -0.15 eV/atom. For the total moment, the calculation gives 0.133 μB/atom.